[1]
The following is a PBE-GGA calculation of a geometry-optimized MgTa structure, from OQMD.

Cell: 5.8357 4.9532 8.3200 Å, 90.00 99.68 90.00°
Fractional coordinates of all 12 atoms:
Mg  0.0222  0.2500  0.1015
Mg  0.3068  0.7500  0.2325
Mg  0.4732  0.7500  0.8986
Mg  0.5268  0.2500  0.1014
Mg  0.6932  0.2500  0.7675
Mg  0.9778  0.7500  0.8985
Ta  0.1477  0.7500  0.5666
Ta  0.1846  0.2500  0.7260
Ta  0.3570  0.2500  0.4440
Ta  0.6430  0.7500  0.5560
Ta  0.8154  0.7500  0.2740
Ta  0.8523  0.2500  0.4334

Output
symmetry = No. 11
calculated volume = 19.76 Å³ per atom
ρ = 8.626 g cm⁻³

=====

[2]
The following is a PBE-GGA calculation of a geometry-optimized Mg2Ta structure, from OQMD.

Cell: 8.4869 8.4869 4.9108 Å, 90.00 90.00 160.08°
Fractional coordinates of all 6 atoms:
Mg  0.1128  0.8872  0.7500
Mg  0.2091  0.7909  0.2500
Mg  0.7909  0.2091  0.7500
Mg  0.8872  0.1128  0.2500
Ta  0.4591  0.5409  0.7500
Ta  0.5409  0.4591  0.2500

Output
symmetry = No. 63
calculated volume = 20.09 Å³ per atom
relative energy among the computed polymorphs = 0.0000 eV/atom
ρ = 6.325 g cm⁻³

=====

no.,energy (eV per cell)
1,-77.47
2,-28.66